Entry 1:
# BaZrTl2Cr

BaZrTl2Cr at its PBEsol-relaxed geometry (meta-GGA SCAN, Alexandria via LeMat-Bulk).

Cell lengths 5.4029, 5.9856, 5.9856 Å; angles 90.00, 90.00, 90.00 degrees
Site moments in Bohr magnetons follow the coordinates.
Positions (direct):
Tl  0.0000  0.0000  0.5000  -0.03
Cr  0.5000  0.5000  0.5000  4.40
Tl  0.0000  0.5000  0.0000  -0.03
Zr  0.5000  0.0000  0.0000  0.24
Ba  0.0000  0.0000  0.0000  -0.03

Calculated values
Its crystal system is tetragonal. The formation energy from the elements is 1629 meV per atom. The calculation puts the magnetic moment at 1.06 μB per atom. Its symmetry is No. 123. The calculation puts the density at 5.9 g/cm3.


Entry 2:
# Hg2IrBr

Hg2IrBr at its PBEsol-relaxed geometry (meta-GGA SCAN, Alexandria via LeMat-Bulk).

Cell lengths 2.9385, 3.1360, 10.0533 Å; angles 90.00, 90.00, 117.94 degrees
Positions (direct):
Br  0.5000  0.0000  0.7088
Ir  0.0000  0.0000  0.5082
Hg  0.5000  0.0000  0.2769
Hg  0.0000  0.0000  0.0060

Calculated values
Its crystal system is orthorhombic. The uncorrected formation energy is 0.582 eV per atom. The calculation puts the magnetic moment at 0.00 μB per atom. Its symmetry is No. 35. The calculation puts the density at 13.7 g/cm3. As for the relative energy among the computed polymorphs: 0 meV per atom.


Entry 3:
# Sc4OsPb

Sc4OsPb at its PBEsol-relaxed geometry (meta-GGA SCAN, Alexandria via LeMat-Bulk).

Cell lengths 5.5071, 5.5071, 5.5071 Å; angles 60.00, 60.00, 60.00 degrees
Positions (direct):
Os  0.7500  0.7500  0.7500
Sc  0.3774  0.3774  0.3774
Sc  0.3774  0.3774  0.8679
Pb  0.0000  0.0000  0.0000
Sc  0.8679  0.3774  0.3774
Sc  0.3774  0.8679  0.3774

Calculated values
Its crystal system is cubic. The formation energy from the elements is 370 meV per atom. The calculation puts the magnetic moment at 0.00 μB per atom. Its symmetry is No. 216. The calculation puts the density at 8.1 g/cm3.


Entry 4:
# CdCoCl2

CdCoCl2 at its PBEsol-relaxed geometry (meta-GGA SCAN, Alexandria via LeMat-Bulk).

Cell lengths 3.2220, 3.9908, 6.7325 Å; angles 107.21, 90.00, 90.00 degrees
Site moments in Bohr magnetons follow the coordinates.
Positions (direct):
Cl  0.5000  0.6022  0.3290  0.00
Cl  0.0000  0.8950  0.9147  -0.03
Cd  0.5000  0.2787  0.6829  -0.09
Co  0.0000  0.7241  0.5734  1.38

Calculated values
Its crystal system is orthorhombic. The uncorrected formation energy is -0.390 eV per atom. The calculation puts the magnetic moment at 0.31 μB per atom. Its symmetry is No. 38. The calculation puts the density at 4.9 g/cm3. As for the relative energy among the computed polymorphs: 113 meV per atom.


Entry 5:
# ZrCo2As

ZrCo2As at its PBEsol-relaxed geometry (meta-GGA SCAN, Alexandria via LeMat-Bulk).

Cell lengths 3.3744, 3.9252, 4.8756 Å; angles 113.74, 110.25, 90.00 degrees
Positions (direct):
Co  0.9791  0.9791  0.9582
Zr  0.5062  0.5062  0.0124
As  0.2680  0.7680  0.5361
Co  0.7467  0.2467  0.4933

Calculated values
Its crystal system is orthorhombic. The formation energy from the elements is -150 meV per atom. The calculation puts the magnetic moment at 0.00 μB per atom. Its symmetry is No. 44. The calculation puts the density at 8.6 g/cm3.


Entry 6:
# TlMoRu

TlMoRu at its PBEsol-relaxed geometry (meta-GGA SCAN, Alexandria via LeMat-Bulk).

Cell lengths 4.3424, 4.3424, 4.3424 Å; angles 60.00, 60.00, 60.00 degrees
Positions (direct):
Tl  0.2500  0.2500  0.2500
Ru  0.5000  0.5000  0.5000
Mo  0.0000  0.0000  0.0000

Calculated values
Its crystal system is cubic. The formation energy from the elements is 1545 meV per atom. The calculation puts the magnetic moment at 0.00 μB per atom. Its symmetry is No. 216. The calculation puts the density at 11.5 g/cm3. As for the relative energy among the computed polymorphs: 1176 meV per atom.


Entry 7:
# Tc2NiCl

Tc2NiCl at its PBEsol-relaxed geometry (meta-GGA SCAN, Alexandria via LeMat-Bulk).

Cell lengths 4.2388, 4.2388, 4.2388 Å; angles 60.00, 60.00, 60.00 degrees
Positions (direct):
Tc  0.7500  0.7500  0.7500
Tc  0.0000  0.0000  0.0000
Cl  0.5000  0.5000  0.5000
Ni  0.2500  0.2500  0.2500

Calculated values
Its crystal system is cubic. The uncorrected formation energy is 0.930 eV per atom. The calculation puts the magnetic moment at 0.00 μB per atom. Its symmetry is No. 216. The calculation puts the density at 8.9 g/cm3. As for the relative energy among the computed polymorphs: 643 meV per atom.


Entry 8:
# Cs3CuS

Cs3CuS at its PBEsol-relaxed geometry (meta-GGA SCAN, Alexandria via LeMat-Bulk).

Cell lengths 6.5729, 6.5729, 6.5729 Å; angles 90.00, 90.00, 90.00 degrees
Positions (direct):
S  0.0000  0.0000  0.0000
Cu  0.5000  0.5000  0.5000
Cs  0.0000  0.0000  0.5000
Cs  0.5000  0.0000  0.0000
Cs  0.0000  0.5000  0.0000

Calculated values
Its crystal system is cubic. The uncorrected formation energy is -0.366 eV per atom. The calculation puts the magnetic moment at 0.00 μB per atom. Its symmetry is No. 221. The calculation puts the density at 2.9 g/cm3.


Entry 9:
# ZnTc2Au

ZnTc2Au at its PBEsol-relaxed geometry (meta-GGA SCAN, Alexandria via LeMat-Bulk).

Cell lengths 2.6911, 4.6745, 4.6745 Å; angles 90.00, 90.00, 90.00 degrees
Positions (direct):
Tc  0.0000  0.5000  0.0000
Zn  0.5000  0.5000  0.5000
Tc  0.0000  0.0000  0.5000
Au  0.5000  0.0000  0.0000

Calculated values
Its crystal system is tetragonal. The formation energy from the elements is 428 meV per atom. The calculation puts the magnetic moment at 0.00 μB per atom. Its symmetry is No. 123. The calculation puts the density at 12.9 g/cm3.


Entry 10:
# CuAgCl2

CuAgCl2 at its PBEsol-relaxed geometry (meta-GGA SCAN, Alexandria via LeMat-Bulk).

Cell lengths 5.7062, 5.7062, 6.6489 Å; angles 115.41, 115.41, 90.00 degrees
Positions (direct):
Ag  0.0000  0.0000  0.0000
Cl  0.4146  0.8750  0.2500
Cu  0.5000  0.5000  0.0000
Cl  0.8354  0.3750  0.2500
Cl  0.1250  0.1646  0.7500
Ag  0.2500  0.7500  0.5000
Cu  0.7500  0.2500  0.5000
Cl  0.6250  0.5854  0.7500

Calculated values
Its crystal system is tetragonal. The uncorrected formation energy is -0.486 eV per atom. The calculation puts the magnetic moment at 0.00 μB per atom. Its symmetry is No. 122. The calculation puts the density at 4.7 g/cm3.


Entry 11:
# Ga2AgH2

Ga2AgH2 at its PBEsol-relaxed geometry (meta-GGA SCAN, Alexandria via LeMat-Bulk).

Cell lengths 3.0735, 3.0735, 6.5200 Å; angles 103.63, 103.63, 90.00 degrees
Positions (direct):
H  0.7500  0.2500  0.5000
Ag  0.0000  0.0000  0.0000
Ga  0.6438  0.6438  0.2875
H  0.2500  0.7500  0.5000
Ga  0.3562  0.3562  0.7125

Calculated values
Its crystal system is tetragonal. The calculation puts the electronic total energy at -1.016 Ry per atom. The calculation puts the magnetic moment at 0.00 μB per atom. Its symmetry is No. 139. The calculation puts the density at 7.1 g/cm3.


Entry 12:
# SnMoO2F

SnMoO2F at its PBEsol-relaxed geometry (meta-GGA SCAN, Alexandria via LeMat-Bulk).

Cell lengths 4.0783, 4.0783, 4.2209 Å; angles 90.00, 90.00, 90.00 degrees
Site moments in Bohr magnetons follow the coordinates.
Positions (direct):
Sn  0.0000  0.0000  0.0000  -0.01
O  0.5000  0.0000  0.0000  0.04
Mo  0.5000  0.5000  0.5000  4.20
F  0.0000  0.0000  0.5000  0.06
O  0.0000  0.5000  0.0000  0.04

Calculated values
Its crystal system is tetragonal. The uncorrected formation energy is -0.714 eV per atom. The calculation puts the magnetic moment at 0.96 μB per atom. Its symmetry is No. 123. The calculation puts the density at 6.3 g/cm3.


Entry 13:
# B2PtF

B2PtF at its PBEsol-relaxed geometry (meta-GGA SCAN, Alexandria via LeMat-Bulk).

Cell lengths 4.7540, 4.7540, 5.5318 Å; angles 115.45, 115.45, 90.00 degrees
Positions (direct):
Pt  0.2500  0.7500  0.5000
B  0.6250  0.6283  0.7500
Pt  0.0000  0.0000  0.0000
B  0.3717  0.8750  0.2500
F  0.7500  0.2500  0.5000
F  0.5000  0.5000  0.0000
B  0.1250  0.1217  0.7500
B  0.8783  0.3750  0.2500

Calculated values
Its crystal system is tetragonal. The uncorrected formation energy is 0.164 eV per atom. The calculation puts the magnetic moment at 0.00 μB per atom. Its symmetry is No. 122. The calculation puts the density at 7.9 g/cm3.


Entry 14:
# Mg2GeH2

Mg2GeH2 at its PBEsol-relaxed geometry (meta-GGA SCAN, Alexandria via LeMat-Bulk).

Cell lengths 3.3737, 6.4001, 6.4001 Å; angles 90.00, 90.00, 90.00 degrees
Positions (direct):
Mg  0.5000  0.7884  0.2884
Mg  0.5000  0.2116  0.7116
H  0.0000  0.9549  0.5451
Mg  0.5000  0.2884  0.2116
H  0.0000  0.4549  0.9549
Ge  0.0000  0.0000  0.0000
Ge  0.0000  0.5000  0.5000
H  0.0000  0.0451  0.4549
H  0.0000  0.5451  0.0451
Mg  0.5000  0.7116  0.7884

Calculated values
Its crystal system is tetragonal. The calculation puts the magnetic moment at 0.00 μB per atom. Its symmetry is No. 127. The calculation puts the density at 3.0 g/cm3. As for the relative energy among the computed polymorphs: 284 meV per atom.


Entry 15:
# ZrRhSe2F

ZrRhSe2F at its PBEsol-relaxed geometry (meta-GGA SCAN, Alexandria via LeMat-Bulk).

Cell lengths 3.9565, 5.0982, 5.0982 Å; angles 90.00, 90.00, 90.00 degrees
Site moments in Bohr magnetons follow the coordinates.
Positions (direct):
F  0.5000  0.0000  0.0000  0.00
Se  0.0000  0.5000  0.0000  0.09
Zr  0.0000  0.0000  0.0000  0.03
Se  0.0000  0.0000  0.5000  0.09
Rh  0.5000  0.5000  0.5000  1.65

Calculated values
Its crystal system is tetragonal. The uncorrected formation energy is -0.979 eV per atom. The calculation puts the magnetic moment at 0.39 μB per atom. Its symmetry is No. 123. The calculation puts the density at 6.0 g/cm3.


Entry 16:
# ScMo3As

ScMo3As at its PBEsol-relaxed geometry (meta-GGA SCAN, Alexandria via LeMat-Bulk).

Cell lengths 4.5582, 4.5582, 4.5582 Å; angles 90.00, 90.00, 90.00 degrees
Positions (direct):
Sc  0.0000  0.0000  0.0000
As  0.5000  0.5000  0.5000
Mo  0.0000  0.0000  0.5000
Mo  0.5000  0.0000  0.0000
Mo  0.0000  0.5000  0.0000

Calculated values
Its crystal system is cubic. The formation energy from the elements is 2151 meV per atom. The calculation puts the magnetic moment at 0.00 μB per atom. Its symmetry is No. 221. The calculation puts the density at 7.1 g/cm3. As for the relative energy among the computed polymorphs: 1417 meV per atom.


Entry 17:
# Cd2Cu

Cd2Cu at its PBEsol-relaxed geometry (meta-GGA SCAN, Alexandria via LeMat-Bulk).

Cell lengths 3.1142, 3.1142, 5.7004 Å; angles 105.85, 105.85, 90.00 degrees
Positions (direct):
Cd  0.6511  0.6511  0.3022
Cu  0.0000  0.0000  0.0000
Cd  0.3489  0.3489  0.6978

Calculated values
Its crystal system is tetragonal. The formation energy from the elements is 58 meV per atom. The calculation puts the magnetic moment at 0.00 μB per atom. Its symmetry is No. 139. The calculation puts the density at 9.4 g/cm3.


Entry 18:
# Y4TcRh

Y4TcRh at its PBEsol-relaxed geometry (meta-GGA SCAN, Alexandria via LeMat-Bulk).

Cell lengths 5.7565, 5.7565, 5.7565 Å; angles 60.00, 60.00, 60.00 degrees
Site moments in Bohr magnetons follow the coordinates.
Positions (direct):
Y  0.3751  0.3751  0.3751  -0.19
Y  0.8746  0.3751  0.3751  -0.19
Rh  0.7500  0.7500  0.7500  0.14
Tc  0.0000  0.0000  0.0000  1.53
Y  0.3751  0.3751  0.8746  -0.19
Y  0.3751  0.8746  0.3751  -0.19

Calculated values
Its crystal system is cubic. The formation energy from the elements is 922 meV per atom. The calculation puts the magnetic moment at 0.16 μB per atom. Its symmetry is No. 216. The calculation puts the density at 6.9 g/cm3.


Entry 19:
# Sc2Pt2Se

Sc2Pt2Se at its PBEsol-relaxed geometry (meta-GGA SCAN, Alexandria via LeMat-Bulk).

Cell lengths 4.5232, 4.5232, 6.0212 Å; angles 112.06, 112.06, 90.00 degrees
Positions (direct):
Se  0.0000  0.0000  0.0000
Sc  0.2500  0.7500  0.5000
Sc  0.7500  0.2500  0.5000
Pt  0.3759  0.3759  0.7519
Pt  0.6241  0.6241  0.2481

Calculated values
Its crystal system is tetragonal. The uncorrected formation energy is -1.004 eV per atom. The calculation puts the magnetic moment at 0.00 μB per atom. Its symmetry is No. 139. The calculation puts the density at 8.9 g/cm3.


Entry 20:
# Na3ScBe

Na3ScBe at its PBEsol-relaxed geometry (meta-GGA SCAN, Alexandria via LeMat-Bulk).

Cell lengths 6.0482, 6.0482, 6.0482 Å; angles 90.00, 90.00, 90.00 degrees
Site moments in Bohr magnetons follow the coordinates.
Positions (direct):
Na  0.0000  0.5000  0.0000  0.03
Be  0.5000  0.5000  0.5000  -0.01
Na  0.5000  0.0000  0.0000  0.03
Na  0.0000  0.0000  0.5000  0.03
Sc  0.0000  0.0000  0.0000  1.16

Calculated values
Its crystal system is cubic. The formation energy from the elements is 1467 meV per atom. The calculation puts the magnetic moment at 0.37 μB per atom. Its symmetry is No. 221. The calculation puts the density at 0.9 g/cm3.